Entry 1:
# BeCdPd, optimized geometry, DFT PBE
data_BeCdPd
_chemical_formula_sum 'Be4 Cd4 Pd4'
_symmetry_space_group_name_H-M 'I 4/m m m'
_symmetry_Int_Tables_number 139
_symmetry_space_group_name_Hall '-I 4 2'
_cell_length_a 2.926
_cell_length_b 2.926
_cell_length_c 21.435
_cell_angle_alpha 90.00
_cell_angle_beta 90.00
_cell_angle_gamma 90.00
loop_
_atom_site_label
_atom_site_type_symbol
_atom_site_fract_x
_atom_site_fract_y
_atom_site_fract_z
Be1 Be 0.000 0.000 0.222
Cd1 Cd 0.000 0.000 0.068
Pd1 Pd 0.000 0.000 0.334
# Energy above the lowest structure with this stoichiometry: 0.000 eV/atom
# D(E_F): 6.60 states/eV per cell



Entry 2:
# BeCd3Pd, optimized geometry, DFT PBE
data_BeCd3Pd
_chemical_formula_sum 'Be1 Cd3 Pd1'
_symmetry_space_group_name_H-M 'P m -3 m'
_symmetry_Int_Tables_number 221
_symmetry_space_group_name_Hall '-P 4 2 3'
_cell_length_a 5.170
_cell_length_b 5.170
_cell_length_c 5.170
_cell_angle_alpha 90.00
_cell_angle_beta 90.00
_cell_angle_gamma 90.00
loop_
_atom_site_label
_atom_site_type_symbol
_atom_site_fract_x
_atom_site_fract_y
_atom_site_fract_z
Be1 Be 0.000 0.000 0.000
Cd1 Cd 0.000 0.500 0.500
Pd1 Pd 0.500 0.500 0.500
# Energy above the lowest structure with this stoichiometry: 0.266 eV/atom
# D(E_F): 1.48 states/eV per cell